Record 1
DFT (PBE) results for a relaxed structure of LiTiTl2Pd.

Computed properties:
Fermi-level density of states: 1.10 states/eV per atom
formation enthalpy at 0 K: 1.90 eV/f.u.

Cell: 5.2951 4.8642 5.2951 Å, 90.00 90.00 90.00°
Fractional positions:
Pd 0.0000 0.0000 0.0000
Ti 0.0000 0.5000 0.0000
Tl 0.0000 0.0000 0.5000
Tl 0.5000 0.0000 0.0000
Li 0.5000 0.5000 0.5000

***

Record 2
DFT (PBE) results for a relaxed structure of LiTiPd2W.

Computed properties:
Fermi-level density of states: 1.45 states/eV per atom
formation enthalpy at 0 K: 6.36 eV/f.u.

Cell: 4.5305 4.2585 4.5305 Å, 90.00 90.00 90.00°
Fractional positions:
Li 0.0000 0.5000 0.0000
Ti 0.0000 0.0000 0.0000
W 0.5000 0.5000 0.5000
Pd 0.5000 0.0000 0.0000
Pd 0.0000 0.0000 0.5000

***

Record 3
DFT (PBE) results for a relaxed structure of Li2Zr2TiPd5.

Computed properties:
Fermi-level density of states: 0.74 states/eV per atom
formation enthalpy at 0 K: -4.99 eV/f.u.

Cell: 3.2348 9.8763 9.8763 Å, 90.00 90.00 90.00°
Fractional positions:
Ti 0.0000 0.0000 0.0000
Ti 0.0000 0.5000 0.5000
Pd 0.5000 0.4451 0.2984
Pd 0.5000 0.2016 0.0549
Pd 0.5000 0.0549 0.7984
Pd 0.5000 0.9451 0.2016
Pd 0.5000 0.7984 0.9451
Pd 0.5000 0.2984 0.5549
Pd 0.5000 0.5549 0.7016
Pd 0.5000 0.0000 0.5000
Pd 0.5000 0.7016 0.4451
Pd 0.5000 0.5000 0.0000
Li 0.0000 0.1261 0.6261
Li 0.0000 0.3739 0.1261
Li 0.0000 0.8739 0.3739
Li 0.0000 0.6261 0.8739
Zr 0.0000 0.8240 0.6760
Zr 0.0000 0.1760 0.3240
Zr 0.0000 0.3240 0.8240
Zr 0.0000 0.6760 0.1760

***

Record 4
DFT (PBE) results for a relaxed structure of LiTlPd.

Computed properties:
energy above the most stable polymorph in this dataset: 0.021 eV/atom
Fermi-level density of states: 0.39 states/eV per atom
formation enthalpy at 0 K: -0.91 eV/f.u.

Cell: 4.6752 8.3493 9.9104 Å, 114.91 103.64 90.00°
Fractional positions:
Li 0.5000 0.9972 0.0000
Li 0.6670 0.1585 0.3339
Li 0.1669 0.6586 0.3339
Li 0.3330 0.8245 0.6661
Li 0.8331 0.3248 0.6661
Li 0.0000 0.4970 0.0000
Pd 0.0796 0.9184 0.1593
Pd 0.2500 0.3940 0.5001
Pd 0.9204 0.7592 0.8407
Pd 0.5796 0.4184 0.1592
Pd 0.7500 0.8939 0.4999
Pd 0.4204 0.2592 0.8408
Tl 0.2500 0.0680 0.5000
Tl 0.9097 0.0759 0.8194
Tl 0.5902 0.7565 0.1805
Tl 0.4098 0.5760 0.8195
Tl 0.0903 0.2565 0.1806
Tl 0.7500 0.5680 0.5000

***

Record 5
DFT (PBE) results for a relaxed structure of Li3TlPd6.

Computed properties:
energy above the most stable polymorph in this dataset: 0.067 eV/atom
Fermi-level density of states: 0.36 states/eV per atom
formation enthalpy at 0 K: -2.47 eV/f.u.

Cell: 6.5846 7.2698 7.2698 Å, 117.33 90.00 90.00°
Fractional positions:
Li 0.9238 0.6947 0.9577
Li 0.9238 0.0423 0.3053
Li 0.9339 0.4053 0.5947
Li 0.4238 0.9577 0.6947
Li 0.4339 0.5947 0.4053
Li 0.4238 0.3053 0.0423
Pd 0.6438 0.2674 0.7326
Pd 0.2796 0.5169 0.8519
Pd 0.7796 0.8519 0.5169
Pd 0.7342 0.0362 0.9638
Pd 0.2796 0.1481 0.4831
Pd 0.7796 0.4831 0.1481
Pd 0.1106 0.3550 0.2743
Pd 0.6106 0.2743 0.3550
Pd 0.1106 0.7257 0.6450
Pd 0.1438 0.7326 0.2674
Pd 0.2342 0.9638 0.0362
Pd 0.6106 0.6450 0.7257
Tl 0.0454 0.1802 0.8198
Tl 0.5454 0.8198 0.1802

***

Record 6
DFT (PBE) results for a relaxed structure of LiTlPd5.

Computed properties:
Fermi-level density of states: 1.52 states/eV per atom
formation enthalpy at 0 K: 2.90 eV/f.u.

Cell: 7.4365 7.0086 6.2170 Å, 124.31 126.73 90.00°
Fractional positions:
Pd 0.0534 0.1852 0.3703
Pd 0.9062 0.3140 0.0000
Pd 0.2057 0.5000 0.0000
Pd 0.9062 0.6860 0.0000
Pd 0.6831 0.8148 0.6297
Tl 0.5851 0.5000 0.0000
Li 0.1910 0.0000 0.0000

***

Record 7
DFT (PBE) results for a relaxed structure of LiTl2Pd8.

Computed properties:
energy above the most stable polymorph in this dataset: 0.000 eV/atom
Fermi-level density of states: 0.61 states/eV per atom
formation enthalpy at 0 K: -2.00 eV/f.u.

Cell: 4.1755 6.3901 7.4107 Å, 106.24 106.36 90.00°
Fractional positions:
Pd 0.1366 0.1784 0.2732
Pd 0.6704 0.9077 0.3407
Pd 0.4094 0.5527 0.8189
Pd 0.5906 0.4473 0.1811
Pd 0.9626 0.2740 0.9251
Pd 0.8634 0.8216 0.7268
Pd 0.0374 0.7260 0.0749
Pd 0.3296 0.0923 0.6593
Tl 0.2216 0.6604 0.4432
Tl 0.7784 0.3396 0.5568
Li 0.5000 0.0000 0.0000

***

Record 8
DFT (PBE) results for a relaxed structure of Li3TlPd7.

Computed properties:
Fermi-level density of states: 0.49 states/eV per atom
formation enthalpy at 0 K: -2.14 eV/f.u.

Cell: 5.1244 5.9801 5.9801 Å, 84.83 94.07 94.07°
Fractional positions:
Pd 0.0000 0.5000 0.5000
Pd 0.2608 0.5845 0.9212
Pd 0.7392 0.4155 0.0788
Pd 0.2608 0.9212 0.5845
Pd 0.7392 0.0788 0.4155
Pd 0.7805 0.7771 0.7771
Pd 0.2195 0.2229 0.2229
Tl 0.5000 0.5000 0.5000
Li 0.0000 0.1876 0.8124
Li 0.5000 0.0000 0.0000
Li 0.0000 0.8124 0.1876

***

Record 9
DFT (PBE) results for a relaxed structure of Li6TlPd5.

Computed properties:
energy above the most stable polymorph in this dataset: 0.000 eV/atom
Fermi-level density of states: 0.21 states/eV per atom
formation enthalpy at 0 K: -4.96 eV/f.u.

Cell: 4.1748 6.5340 7.3753 Å, 116.29 106.44 90.00°
Fractional positions:
Li 0.5000 0.2779 0.0000
Li 0.8261 0.0903 0.6520
Li 0.1741 0.4383 0.3480
Li 0.8259 0.5617 0.6520
Li 0.5000 0.7221 0.0000
Li 0.1739 0.9097 0.3480
Pd 0.0000 0.5000 0.0000
Pd 0.6710 0.6710 0.3421
Pd 0.6593 0.1593 0.3185
Pd 0.3407 0.8407 0.6815
Pd 0.3290 0.3290 0.6579
Tl 0.0000 0.0000 0.0000

***

Record 10
DFT (PBE) results for a relaxed structure of Li5Tl4Pd3.

Computed properties:
Fermi-level density of states: 0.32 states/eV per atom
formation enthalpy at 0 K: -1.73 eV/f.u.

Cell: 4.4517 7.8066 7.4840 Å, 84.91 72.70 73.43°
Fractional positions:
Li 0.6024 0.9853 0.8099
Li 0.7892 0.5822 0.8394
Li 0.2108 0.4178 0.1606
Li 0.3976 0.0147 0.1901
Li 0.5000 0.5000 0.5000
Pd 0.4274 0.3515 0.7937
Pd 0.0000 0.5000 0.5000
Pd 0.5726 0.6485 0.2063
Tl 0.6997 0.1572 0.4434
Tl 0.3003 0.8428 0.5566
Tl 0.9032 0.2203 0.9732
Tl 0.0968 0.7797 0.0268

***

Record 11
DFT (PBE) results for a relaxed structure of Li2Tl2Pd3.

Computed properties:
energy above the most stable polymorph in this dataset: 0.000 eV/atom
Fermi-level density of states: 0.43 states/eV per atom
formation enthalpy at 0 K: -2.18 eV/f.u.

Cell: 4.9374 4.2105 6.6419 Å, 90.01 100.27 115.24°
Fractional positions:
Tl 0.8594 0.4297 0.2625
Tl 0.1406 0.5703 0.7375
Pd 0.0000 0.0000 0.0000
Pd 0.5528 0.2764 0.8376
Pd 0.4472 0.7236 0.1624
Li 0.7024 0.8512 0.5912
Li 0.2976 0.1488 0.4088

***

Record 12
DFT (PBE) results for a relaxed structure of Li7Tl4Pd.

Computed properties:
Fermi-level density of states: 0.29 states/eV per atom
formation enthalpy at 0 K: -1.94 eV/f.u.

Cell: 4.9939 8.0189 7.2555 Å, 62.54 69.87 71.86°
Fractional positions:
Tl 0.6805 0.6402 0.9987
Tl 0.3195 0.3598 0.0013
Tl 0.4217 0.7300 0.4267
Tl 0.5783 0.2700 0.5733
Li 0.0657 0.6078 0.2607
Li 0.8059 0.8680 0.5202
Li 0.1941 0.1320 0.4798
Li 0.5000 0.0000 0.0000
Li 0.2059 0.7814 0.8068
Li 0.9343 0.3922 0.7393
Li 0.7941 0.2186 0.1932
Pd 0.0000 0.0000 0.0000

***

Record 13
DFT (PBE) results for a relaxed structure of Li2TlPd6.

Computed properties:
energy above the most stable polymorph in this dataset: 0.066 eV/atom
Fermi-level density of states: 0.54 states/eV per atom
formation enthalpy at 0 K: -1.78 eV/f.u.

Cell: 6.8271 4.9541 4.9541 Å, 69.65 69.88 69.88°
Fractional positions:
Li 0.8927 0.6538 0.6538
Li 0.1073 0.3462 0.3462
Tl 0.0000 0.0000 0.0000
Pd 0.5168 0.2384 0.2384
Pd 0.4832 0.7616 0.7616
Pd 0.2771 0.8152 0.3430
Pd 0.7229 0.6570 0.1848
Pd 0.2771 0.3430 0.8152
Pd 0.7229 0.1848 0.6570

***

Record 14
DFT (PBE) results for a relaxed structure of Li7Tl3Pd.

Computed properties:
Fermi-level density of states: 0.49 states/eV per atom
formation enthalpy at 0 K: -1.97 eV/f.u.

Cell: 3.0056 9.8084 14.8477 Å, 90.00 90.00 98.81°
Fractional positions:
Pd 0.9831 0.9661 0.2500
Pd 0.0169 0.0339 0.7500
Li 0.3943 0.7886 0.7500
Li 0.3853 0.7705 0.3364
Li 0.5099 0.0199 0.1011
Li 0.7443 0.4886 0.5833
Li 0.3853 0.7705 0.1636
Li 0.6147 0.2295 0.6636
Li 0.2557 0.5114 0.4167
Li 0.4901 0.9801 0.6011
Li 0.6147 0.2295 0.8364
Li 0.7443 0.4886 0.9167
Li 0.2557 0.5114 0.0833
Li 0.4901 0.9801 0.8989
Li 0.5099 0.0199 0.3989
Li 0.6057 0.2114 0.2500
Tl 0.8806 0.7612 0.5119
Tl 0.8806 0.7612 0.9881
Tl 0.2359 0.4717 0.7500
Tl 0.7641 0.5283 0.2500
Tl 0.1194 0.2388 0.0119
Tl 0.1194 0.2388 0.4881

***

Record 15
DFT (PBE) results for a relaxed structure of LiTlPd3.

Computed properties:
energy above the most stable polymorph in this dataset: 0.780 eV/atom
Fermi-level density of states: 0.34 states/eV per atom
formation enthalpy at 0 K: 2.84 eV/f.u.

Cell: 5.0986 5.0986 5.0986 Å, 90.00 90.00 90.00°
Fractional positions:
Pd 0.0000 0.0000 0.5000
Pd 0.5000 0.0000 0.0000
Pd 0.0000 0.5000 0.0000
Tl 0.0000 0.0000 0.0000
Li 0.5000 0.5000 0.5000

***

Record 16
DFT (PBE) results for a relaxed structure of LiTl2Pd.

Computed properties:
Fermi-level density of states: 0.56 states/eV per atom
formation enthalpy at 0 K: -0.15 eV/f.u.

Cell: 7.7481 7.7481 6.2777 Å, 51.89 51.89 90.00°
Fractional positions:
Li 0.5000 0.5000 0.0000
Li 0.2500 0.7500 0.5000
Pd 0.0000 0.0000 0.0000
Pd 0.7500 0.2500 0.5000
Tl 0.8750 0.8886 0.7500
Tl 0.1114 0.6250 0.2500
Tl 0.6386 0.1250 0.2500
Tl 0.3750 0.3614 0.7500

***

Record 17
DFT (PBE) results for a relaxed structure of Li7Tl3Pd2.

Computed properties:
Fermi-level density of states: 0.47 states/eV per atom
formation enthalpy at 0 K: -2.48 eV/f.u.

Cell: 3.2497 4.5666 14.8564 Å, 99.70 90.00 90.00°
Fractional positions:
Li 0.0000 0.5750 0.1544
Li 0.5000 0.9102 0.8162
Li 0.5000 0.7256 0.4567
Li 0.5000 0.2744 0.5433
Li 0.0000 0.4250 0.8456
Li 0.5000 0.0898 0.1838
Li 0.0000 0.0000 0.0000
Tl 0.0000 0.8193 0.6408
Tl 0.0000 0.1807 0.3592
Tl 0.5000 0.5000 0.0000
Pd 0.5000 0.3553 0.7121
Pd 0.5000 0.6447 0.2879

***

Record 18
DFT (PBE) results for a relaxed structure of Li2TlPd8.

Computed properties:
energy above the most stable polymorph in this dataset: 0.000 eV/atom
Fermi-level density of states: 0.85 states/eV per atom
formation enthalpy at 0 K: -2.51 eV/f.u.

Cell: 4.0264 6.2555 7.3460 Å, 105.61 105.91 90.00°
Fractional positions:
Pd 0.8564 0.8000 0.7128
Pd 0.4033 0.5360 0.8067
Pd 0.0488 0.7231 0.0976
Pd 0.3157 0.0859 0.6314
Pd 0.6843 0.9141 0.3686
Pd 0.5967 0.4640 0.1933
Pd 0.9512 0.2769 0.9024
Pd 0.1436 0.2000 0.2872
Tl 0.5000 0.0000 0.0000
Li 0.2270 0.6445 0.4540
Li 0.7730 0.3555 0.5460

***

Record 19
DFT (PBE) results for a relaxed structure of Li3Tl3Pd2.

Computed properties:
energy above the most stable polymorph in this dataset: 0.000 eV/atom
Fermi-level density of states: 0.43 states/eV per atom
formation enthalpy at 0 K: -2.30 eV/f.u.

Cell: 4.0414 4.4166 9.1751 Å, 76.23 77.46 90.22°
Fractional positions:
Tl 0.6405 0.1390 0.7202
Tl 0.5000 0.5000 0.0000
Tl 0.3595 0.8610 0.2798
Li 0.8531 0.3531 0.2926
Li 0.0000 0.0000 0.0000
Li 0.1469 0.6469 0.7074
Pd 0.2512 0.2522 0.4971
Pd 0.7488 0.7478 0.5029

***

Record 20
DFT (PBE) results for a relaxed structure of Li2TlPd4.

Computed properties:
energy above the most stable polymorph in this dataset: 0.065 eV/atom
Fermi-level density of states: 0.47 states/eV per atom
formation enthalpy at 0 K: -1.76 eV/f.u.

Cell: 8.7210 5.2990 5.5328 Å, 118.61 90.00 90.00°
Fractional positions:
Tl 0.5000 0.5000 0.0000
Tl 0.0000 0.0000 0.0000
Pd 0.7500 0.5057 0.5000
Pd 0.2500 0.9943 0.5000
Pd 0.7500 0.0057 0.5000
Pd 0.1866 0.4916 0.0000
Pd 0.8134 0.5084 0.0000
Pd 0.6866 0.0084 0.0000
Pd 0.2500 0.4943 0.5000
Pd 0.3134 0.9916 0.0000
Li 0.0000 0.6990 0.3980
Li 0.5000 0.1990 0.3980
Li 0.5000 0.8010 0.6020
Li 0.0000 0.3010 0.6020

***

Record 21
DFT (PBE) results for a relaxed structure of Li4Tl2Pd3.

Computed properties:
energy above the most stable polymorph in this dataset: 0.020 eV/atom
Fermi-level density of states: 0.35 states/eV per atom
formation enthalpy at 0 K: -2.92 eV/f.u.

Cell: 4.2777 5.6448 7.0423 Å, 113.34 107.68 90.00°
Fractional positions:
Pd 0.8873 0.3512 0.7745
Pd 0.0000 0.0000 0.0000
Pd 0.1127 0.6488 0.2255
Li 0.7765 0.6559 0.5530
Li 0.4473 0.6497 0.8947
Li 0.2235 0.3441 0.4470
Li 0.5527 0.3503 0.1053
Tl 0.6556 0.0101 0.3112
Tl 0.3444 0.9899 0.6888

***

| no. | spin magnetization (μB/f.u.) |
| --- | --- |
| 1 | 0.27 |
| 2 | 0.67 |
| 3 | 0.00 |
| 4 | 0.00 |
| 5 | 0.00 |
| 6 | 0.00 |
| 7 | 0.00 |
| 8 | 0.00 |
| 9 | 0.00 |
| 10 | 0.00 |
| 11 | 0.00 |
| 12 | 0.00 |
| 13 | 0.00 |
| 14 | 0.00 |
| 15 | 0.00 |
| 16 | 0.00 |
| 17 | 0.00 |
| 18 | 0.00 |
| 19 | 0.00 |
| 20 | 0.00 |
| 21 | 0.00 |